Here is crystalline BiP2SN at its relaxed geometry from Alexandria. Energies are from GGA-PBE.

Calculated values
formation energy from raw total energies = 881 meV per atom

Lattice parameters (Å, degrees): 4.2604 4.2604 4.4450 90.00 90.00 90.00
Fractional positions:
Bi1 0.0000 0.0000 0.0000
P1 0.0000 0.5000 0.5000
P2 0.5000 0.0000 0.5000
S1 0.5000 0.5000 0.0000
N1 0.5000 0.5000 0.5000